Compound: Ac8IrOs3
Source: Alexandria via LeMat-Bulk
Functional: PBE-GGA
Structure: optimized geometry

The calculated total energy is -0.47296 Ry per atom. Its formation energy is -150 meV per atom.

It has space group C2/m (No. 12), with a = 13.884 Å, b = 8.871 Å, c = 8.252 Å, α = 90.00°, β = 120.08° and γ = 90.00°. The distinct sites, in fractional coordinates, are Ac at (0.006, 0.248, 0.246), Ac at (0.245, 0.000, 0.255), Ac at (0.247, 0.500, 0.260), Ir at (0.000, 0.500, 0.000), Os at (0.000, 0.000, 0.000) and Os at (0.250, 0.250, 0.500).



Compound: Mg7ScAu4
Source: Alexandria via LeMat-Bulk
Functional: PBE-GGA
Structure: optimized geometry

The calculated total energy is -0.20650 Ry per atom. Its formation energy is -259 meV per atom.

It has space group C2/m (No. 12), with a = 12.813 Å, b = 5.028 Å, c = 9.535 Å, α = 90.00°, β = 125.49° and γ = 90.00°. The distinct sites, in fractional coordinates, are Mg at (0.000, 0.000, 0.000), Mg at (0.065, 0.500, 0.373), Mg at (0.179, 0.000, 0.618), Mg at (0.216, 0.500, 0.875), Sc at (0.000, 0.500, 0.000), Au at (0.071, 0.000, 0.786) and Au at (0.197, 0.000, 0.332).



Compound: Na4Sb3AsSe8
Source: Alexandria via LeMat-Bulk
Functional: PBE-GGA
Structure: optimized geometry

The calculated total energy is -0.27467 Ry per atom.

It has space group R-3m (No. 166, hexagonal axes), with a = 8.2103 Å, b = 8.2103 Å, c = 21.2541 Å, α = 90.00°, β = 90.00° and γ = 120.00°. The distinct sites, in fractional coordinates, are Na at (0.0000, 0.0000, 0.0000), Na at (0.0000, 0.5000, 0.0000), Sb at (0.0000, 0.5000, 0.5000), As at (0.0000, 0.0000, 0.5000), Se at (0.0000, 0.0000, 0.2449) and Se at (0.0139, 0.5069, 0.2420).



Compound: Zr12ReSn6
Source: Alexandria via LeMat-Bulk
Functional: PBE-GGA
Structure: optimized geometry

The calculated total energy is -0.54058 Ry per atom. Its formation energy is -37 meV per atom.

It has space group R-3 (No. 148, hexagonal axes), with a = 12.1896 Å, b = 12.1896 Å, c = 11.1927 Å, α = 90.00°, β = 90.00° and γ = 120.00°. The distinct sites, in fractional coordinates, are Zr at (0.0272, 0.1729, 0.3816), Zr at (0.0730, 0.1920, 0.8637), Re at (0.0000, 0.0000, 0.0000) and Sn at (0.0360, 0.4114, 0.2967).